Tb6Pr5Th2 | PBE | optimized geometry

Cell lengths 11.6476, 21.1643, 3.6192 Å; angles 90.00, 90.00, 90.00 degrees
Space group Pbam (No. 55)
Symmetry-distinct sites (fractional):
Tb1 0.0619 0.1482 0.0000 (multiplicity 4)
Tb2 0.0812 0.4379 0.0000 (multiplicity 4)
Tb3 0.1865 0.8761 0.5000 (multiplicity 4)
Pr1 0.0000 0.0000 0.5000 (multiplicity 2)
Pr2 0.0619 0.2947 0.5000 (multiplicity 4)
Pr3 0.1917 0.5789 0.5000 (multiplicity 4)
Th1 0.1915 0.7361 0.0000 (multiplicity 4)

Values from the calculation:
Energy of formation   0.109 eV per atom
Total magnetization   0.000 μB per cell

---

Tb7Pr12Th | PBE | optimized geometry

Cell lengths 19.8553, 19.8553, 6.3060 Å; angles 90.00, 90.00, 120.00 degrees
Space group R-3m (No. 166, hexagonal axes)
Symmetry-distinct sites (fractional):
Tb1 0.0000 0.0000 0.0000 (multiplicity 3)
Tb2 0.0823 0.1647 0.2807 (multiplicity 18)
Pr1 0.0000 0.4113 0.0000 (multiplicity 18)
Pr2 0.0970 0.5485 0.4556 (multiplicity 18)
Th1 0.0000 0.0000 0.5000 (multiplicity 3)

Values from the calculation:
Energy of formation   0.257 eV per atom
Total magnetization   0.000 μB per cell

---

Tb4PrTh2 | PBE | optimized geometry

Cell lengths 5.6738, 5.6738, 16.5148 Å; angles 90.00, 90.00, 90.00 degrees
Space group I4/mmm (No. 139)
Symmetry-distinct sites (fractional):
Tb1 0.0000 0.0000 0.1820 (multiplicity 4)
Tb2 0.0000 0.5000 0.0000 (multiplicity 4)
Pr1 0.0000 0.0000 0.0000 (multiplicity 2)
Th1 0.0000 0.0000 0.3889 (multiplicity 4)

Values from the calculation:
Energy of formation   0.797 eV per atom
Total magnetization   0.000 μB per cell

---

Tb4Pr5Th4 | PBE | optimized geometry

Cell lengths 13.1013, 13.1013, 5.0990 Å; angles 90.00, 90.00, 90.00 degrees
Space group I4/m (No. 87)
Symmetry-distinct sites (fractional):
Tb1 0.1540 0.2357 0.0000 (multiplicity 8)
Pr1 0.0000 0.0000 0.0000 (multiplicity 2)
Pr2 0.0381 0.8013 0.5000 (multiplicity 8)
Th1 0.0728 0.6131 0.0000 (multiplicity 8)

Values from the calculation:
Energy of formation   0.038 eV per atom
Total magnetization   0.000 μB per cell

---

Tb2Pr2Th15 | PBE | optimized geometry

Cell lengths 11.5396, 11.5396, 17.1463 Å; angles 90.00, 90.00, 120.00 degrees
Space group R-3m (No. 166, hexagonal axes)
Symmetry-distinct sites (fractional):
Tb1 0.0000 0.0000 0.1011 (multiplicity 6)
Pr1 0.0000 0.0000 0.3436 (multiplicity 6)
Th1 0.0000 0.3033 0.0000 (multiplicity 18)
Th2 0.0000 0.5000 0.5000 (multiplicity 9)
Th3 0.0127 0.5064 0.1618 (multiplicity 18)

Values from the calculation:
Energy of formation   0.265 eV per atom
Total magnetization   0.000 μB per cell

---

Tb2Pr6Th | PBE | optimized geometry

Cell lengths 3.6568, 3.6568, 27.4379 Å; angles 90.00, 90.00, 120.00 degrees
Space group P-6m2 (No. 187)
Symmetry-distinct sites (fractional):
Tb1 0.0000 0.0000 0.1703 (multiplicity 2)
Pr1 0.0000 0.0000 0.3920 (multiplicity 2)
Pr2 0.6667 0.3333 0.0660 (multiplicity 2)
Pr3 0.6667 0.3333 0.2784 (multiplicity 2)
Th1 0.6667 0.3333 0.5000 (multiplicity 1)

Values from the calculation:
Energy of formation   0.063 eV per atom
Total magnetization   0.000 μB per cell

---

Tb8PrTh4 | PBE | optimized geometry

Cell lengths 7.4023, 7.4023, 26.8830 Å; angles 90.00, 90.00, 120.00 degrees
Space group R-3m (No. 166, hexagonal axes)
Symmetry-distinct sites (fractional):
Tb1 0.0000 0.0000 0.2220 (multiplicity 6)
Tb2 0.0400 0.5200 0.7697 (multiplicity 18)
Pr1 0.0000 0.0000 0.5000 (multiplicity 3)
Th1 0.0000 0.0000 0.0000 (multiplicity 3)
Th2 0.0000 0.5000 0.0000 (multiplicity 9)

Values from the calculation:
Energy of formation   0.209 eV per atom
Total magnetization   0.001 μB per cell

---

TbPrTh4 | PBE | optimized geometry

Cell lengths 9.4206, 9.4206, 9.4206 Å; angles 90.00, 90.00, 90.00 degrees
Space group F-43m (No. 216)
Symmetry-distinct sites (fractional):
Tb1 0.0000 0.0000 0.0000 (multiplicity 4)
Pr1 0.2500 0.2500 0.2500 (multiplicity 4)
Th1 0.1254 0.1254 0.6254 (multiplicity 16)

Values from the calculation:
Energy of formation   0.265 eV per atom
Total magnetization   0.000 μB per cell